Record 1
LaSbSe2: relaxed, GGA-PBE.

```
4
Lattice="-4.5385 1.1225 3.0653 1.6212 -1.4706 5.1442 1.8749 3.6363 -3.8100" Properties=species:S:1:pos:R:3 pbc="T T T"
La -2.0611 2.2923 1.6800
Sb 1.0187 0.9958 2.7195
Se -0.1190 -0.0142 0.3350
Se -1.3396 -0.1599 3.7698
```

Output
Offset from the most stable computed form (meV per atom): 42
D(E_F) (states/eV/atom): 0.0035
ρ (kg/m³): 6700
Final energy (eV/atom): -5.09

Record 2
HoPuTl2: relaxed, GGA-PBE.

```
4
Lattice="-3.3253 2.2834 -1.8551 -0.3669 -3.4318 -3.5664 -3.2680 -2.5178 2.7590" Properties=species:S:1:pos:R:3 pbc="T T T"
Tl -1.6340 -1.2589 1.3795
Tl -0.1834 -1.7159 -1.7832
Ho -1.6627 1.1417 -0.9276
Pu -3.4801 -1.8331 -1.3313
```

Output
Offset from the most stable computed form (meV per atom): 33
D(E_F) (states/eV/atom): 2.8592
E_form (eV per formula unit): -0.5
ρ (kg/m³): 12416
Final energy (eV/atom): -6.04

Record 3
Y2Tm2Se3: relaxed, GGA-PBE.

```
7
Lattice="3.8113 0.0000 -1.0237 -0.2445 6.8042 -0.9102 -0.1791 -0.3778 6.9397" Properties=species:S:1:pos:R:3 pbc="T T T"
Y 1.2670 0.7136 4.7171
Y 2.1207 5.7128 0.2887
Tm 0.3078 2.5387 1.1460
Tm 3.0799 3.8876 3.8598
Se 0.0000 0.0000 0.0000
Se 0.7162 4.9019 2.6664
Se 2.6715 1.5244 2.3394
```

Output
D(E_F) (states/eV/atom): 0.5364
ρ (kg/m³): 7048
Final energy (eV/atom): -6.07

Record 4
Sc2TlTeN: relaxed, GGA-PBE.

```
5
Lattice="5.4875 0.0000 0.0000 0.0000 4.2040 0.0000 0.0000 0.0000 5.4875" Properties=species:S:1:pos:R:3 pbc="T T T"
Sc 0.0000 0.0000 2.7437
Sc 2.7437 0.0000 0.0000
Tl 0.0000 0.0000 0.0000
Te 2.7437 2.1020 2.7437
N 0.0000 2.1020 0.0000
```

Output
D(E_F) (states/eV/atom): 0.8143
ρ (kg/m³): 5718
Final energy (eV/atom): -4.66

Record 5
Ca3La2PuTe6: relaxed, GGA-PBE.

```
12
Lattice="-1.8311 4.0683 -0.6235 -6.6843 -3.7592 -4.8978 -2.5526 -2.1747 9.5806" Properties=species:S:1:pos:R:3 pbc="T T T"
Ca -4.2577 0.1546 -2.7606
Ca -4.3317 1.3174 5.0444
Ca -6.7363 -3.1830 -0.9851
La -7.7002 -0.5711 2.6146
La -3.3678 -1.2944 1.4447
Pu -0.9156 2.0341 -0.3117
Te -8.4803 -3.5630 1.6574
Te -5.9961 -0.2259 -0.1376
Te -2.5877 1.6974 2.4019
Te -6.0271 0.9607 7.6965
Te -5.0409 -2.8263 -3.6372
Te -5.0719 -1.6397 4.1969
```

Output
D(E_F) (states/eV/atom): 1.5184
ρ (kg/m³): 5936
Final energy (eV/atom): -5.59

Record 6
MgTaS2N: relaxed, GGA-PBE.

```
5
Lattice="-1.7763 -4.1247 2.0163 2.3060 -2.6710 -3.4325 3.1397 -0.2325 2.2903" Properties=species:S:1:pos:R:3 pbc="T T T"
S 1.1530 -1.3355 -1.7162
S -0.8882 -2.0624 1.0082
N 1.5698 -0.1163 1.1451
Mg 1.8347 -3.5141 0.4371
Ta 0.0000 0.0000 0.0000
```

Output
Offset from the most stable computed form (meV per atom): 0
D(E_F) (states/eV/atom): 0.2967
ρ (kg/m³): 4988
Final energy (eV/atom): -6.47

> What is the D(E_F) in the first record?

0.0035 states/eV/atom

> What is the final energy in the fourth record?

-4.66 eV/atom

What did the third record say?
Y2Tm2Se3: relaxed, GGA-PBE.

```
7
Lattice="3.8113 0.0000 -1.0237 -0.2445 6.8042 -0.9102 -0.1791 -0.3778 6.9397" Properties=species:S:1:pos:R:3 pbc="T T T"
Y 1.2670 0.7136 4.7171
Y 2.1207 5.7128 0.2887
Tm 0.3078 2.5387 1.1460
Tm 3.0799 3.8876 3.8598
Se 0.0000 0.0000 0.0000
Se 0.7162 4.9019 2.6664
Se 2.6715 1.5244 2.3394
```

Output
D(E_F) (states/eV/atom): 0.5364
ρ (kg/m³): 7048
Final energy (eV/atom): -6.07